1.
YAlGaAu2, optimized geometry, DFT GGA-PBE; volume = 200.2 Å³/cell; crystal system = tetragonal; raw total energy = -0.1697 hartree per atom
1.0
-2.3871 1.2207 3.4112
-3.5506 0.0248 -2.4935
-1.7673 -10.2052 2.4150
Y Al Ga Au
2 2 2 4
Direct
0.0000 0.5000 0.7500
0.5000 0.0000 0.2500
0.0000 0.5000 0.1299
0.5000 0.0000 0.8701
0.5000 0.5000 0.5000
0.0000 0.0000 0.5000
0.0000 0.0000 0.0000
0.5000 0.5000 0.0000
0.5000 0.0000 0.6397
0.0000 0.5000 0.3603

2.
Zr2AlGaAu2, optimized geometry, DFT GGA-PBE; volume = 504.9 Å³/cell; crystal system = monoclinic; raw total energy = -0.2063 hartree per atom
1.0
-3.3249 2.0098 -10.2344
-3.1930 -3.0960 0.4293
-5.3954 6.5267 6.9395
Zr Ga Au Al
8 4 8 4
Direct
0.3763 0.5000 0.3762
0.8759 0.5000 0.8736
0.9988 0.0000 0.2520
0.5010 0.0000 0.7501
0.1239 0.5000 0.6253
0.2497 0.0000 0.9974
0.6239 0.5000 0.1248
0.7504 0.0000 0.5003
0.6247 0.5000 0.6253
0.3754 0.5000 0.8752
0.0003 0.0000 0.7509
0.8750 0.5000 0.3745
0.0002 0.0000 0.0032
0.4988 0.0000 0.4984
0.8745 0.5000 0.6241
0.3739 0.5000 0.1269
0.1276 0.5000 0.3756
0.6280 0.5000 0.8774
0.2503 0.0000 0.7463
0.7467 0.0000 0.2480
0.1249 0.5000 0.1252
0.7506 0.0000 0.0000
0.2498 0.0000 0.4995
0.4993 0.0000 0.2496